No. 1
The following is a DFT calculation (PBE) of an optimized crystal structure of HfMg2W.

Results
Its energy of formation from the pure elements is 0.905 eV/atom. The energy above the most stable polymorph in this dataset is 294 meV/atom. The space group is I-42d.

a = 7.792 Å, b = 7.792 Å, c = 6.141 Å
α = 50.62°, β = 50.62°, γ = 90.00°
Positions (direct):
Mg  0.646  0.125  0.250
Mg  0.104  0.625  0.250
Mg  0.375  0.354  0.750
Mg  0.875  0.896  0.750
Hf  0.500  0.500  0.000
Hf  0.250  0.750  0.500
W  0.000  0.000  0.000
W  0.750  0.250  0.500

No. 2
The following is a DFT calculation (PBE) of an optimized crystal structure of YHfMg2.

Results
Its energy of formation from the pure elements is 0.080 eV/atom. The space group is P4/mmm.

a = 3.608 Å, b = 3.608 Å, c = 7.409 Å
α = 90.00°, β = 90.00°, γ = 90.00°
Positions (direct):
Y  0.500  0.500  0.500
Mg  0.000  0.000  0.772
Mg  0.000  0.000  0.228
Hf  0.500  0.500  0.000

No. 3
The following is a DFT calculation (PBE) of an optimized crystal structure of Y3HfMg.

Results
Its energy of formation from the pure elements is 0.648 eV/atom. The energy above the most stable polymorph in this dataset is 0 meV/atom. The space group is Pm-3m.

a = 5.591 Å, b = 5.591 Å, c = 5.591 Å
α = 90.00°, β = 90.00°, γ = 90.00°
Positions (direct):
Y  0.000  0.500  0.000
Y  0.000  0.000  0.500
Y  0.500  0.000  0.000
Mg  0.500  0.500  0.500
Hf  0.000  0.000  0.000